No. 1
First-principles (GGA-PBE) data for an optimized crystal structure of LaYMn2, as listed in Alexandria via LeMat-Bulk.

Computed properties:
* ΔE to the lowest computed polymorph: 0.122 eV per atom
* ΔE_f: 0.23 eV/atom
* volume: 186.93 Å³ per cell
* crystal system: orthorhombic

Unit cell a=3.447 b=4.851 c=11.181 alpha=90.00 beta=90.00 gamma=90.00
Sites, in units of the cell vectors:
La: 0.000 0.000 0.000
La: 0.500 0.500 0.500
Y: 0.000 0.500 0.217
Y: 0.500 0.000 0.717
Mn: 0.000 0.000 0.423
Mn: 0.000 0.500 0.785
Mn: 0.500 0.000 0.285
Mn: 0.500 0.500 0.923

***

No. 2
First-principles (GGA-PBE) data for an optimized crystal structure of TaSi2Ir, as listed in Alexandria via LeMat-Bulk.

Computed properties:
* volume: 116.91 Å³ per cell
* crystal system: monoclinic
* ΔE_f (raw): -0.433 eV/atom

Unit cell a=8.972 b=2.949 c=4.611 alpha=90.00 beta=106.61 gamma=90.00
Sites, in units of the cell vectors:
Ta: 0.000 0.000 0.000
Ta: 0.500 0.500 0.000
Si: 0.000 0.500 0.483
Si: 0.252 0.500 0.168
Si: 0.500 0.000 0.483
Si: 0.752 0.000 0.168
Ir: 0.241 0.000 0.626
Ir: 0.741 0.500 0.626

***

No. 3
First-principles (GGA-PBE) data for an optimized crystal structure of Rh3C2, as listed in Alexandria via LeMat-Bulk.

Computed properties:
* ΔE_f: 0.50 eV/atom
* volume: 175.52 Å³ per cell
* crystal system: trigonal

Unit cell a=3.190 b=3.190 c=19.920 alpha=90.00 beta=90.00 gamma=120.00
Sites, in units of the cell vectors:
Rh: 0.000 0.000 0.000
Rh: 0.000 0.000 0.225
Rh: 0.000 0.000 0.775
Rh: 0.333 0.667 0.441
Rh: 0.333 0.667 0.667
Rh: 0.333 0.667 0.892
Rh: 0.667 0.333 0.108
Rh: 0.667 0.333 0.333
Rh: 0.667 0.333 0.559
C: 0.000 0.000 0.403
C: 0.000 0.000 0.597
C: 0.333 0.667 0.070
C: 0.333 0.667 0.263
C: 0.667 0.333 0.737
C: 0.667 0.333 0.930

***

No. 4
First-principles (GGA-PBE) data for an optimized crystal structure of PmMgTl, as listed in Alexandria via LeMat-Bulk.

Computed properties:
* ΔE to the lowest computed polymorph: 0.058 eV per atom
* ΔE_f: -0.30 eV/atom
* volume: 165.33 Å³ per cell
* crystal system: tetragonal

Unit cell a=4.616 b=4.616 c=7.761 alpha=90.00 beta=90.00 gamma=90.00
Sites, in units of the cell vectors:
Pm: 0.250 0.250 0.164
Pm: 0.750 0.750 0.836
Mg: 0.250 0.750 0.500
Mg: 0.750 0.250 0.500
Tl: 0.250 0.250 0.752
Tl: 0.750 0.750 0.248

***

No. 5
First-principles (GGA-PBE) data for an optimized crystal structure of AcLa3Tb2Te6, as listed in Alexandria via LeMat-Bulk.

Computed properties:
* volume: 396.72 Å³ per cell
* crystal system: monoclinic
* ΔE_f (raw): -1.477 eV/atom

Unit cell a=7.869 b=7.869 c=7.870 alpha=99.62 beta=99.62 gamma=120.22
Sites, in units of the cell vectors:
Ac: 0.000 0.000 0.000
La: 0.158 0.842 0.500
La: 0.500 0.500 0.500
La: 0.842 0.158 0.500
Tb: 0.332 0.668 0.000
Tb: 0.668 0.332 0.000
Te: 0.082 0.431 0.246
Te: 0.271 0.271 0.764
Te: 0.431 0.082 0.246
Te: 0.569 0.918 0.754
Te: 0.729 0.729 0.236
Te: 0.918 0.569 0.754

***

No. 6
First-principles (GGA-PBE) data for an optimized crystal structure of KMnAl, as listed in Alexandria via LeMat-Bulk.

Computed properties:
* ΔE to the lowest computed polymorph: 0.240 eV per atom
* ΔE_f: 0.67 eV/atom
* volume: 70.13 Å³ per cell
* crystal system: trigonal

Unit cell a=3.166 b=3.166 c=8.077 alpha=90.00 beta=90.00 gamma=120.00
Sites, in units of the cell vectors:
K: 0.000 0.000 0.000
Mn: 0.667 0.333 0.383
Al: 0.333 0.667 0.625

***

No. 7
First-principles (GGA-PBE) data for an optimized crystal structure of Ga2AgGeSe6, as listed in Alexandria via LeMat-Bulk.

Computed properties:
* volume: 556.69 Å³ per cell
* crystal system: monoclinic
* ΔE_f (raw): -0.259 eV/atom

Unit cell a=9.383 b=9.383 c=7.023 alpha=107.96 beta=107.96 gamma=89.76
Sites, in units of the cell vectors:
Ga: 0.121 0.270 0.187
Ga: 0.270 0.121 0.687
Ga: 0.730 0.879 0.313
Ga: 0.879 0.730 0.813
Ag: 0.272 0.728 0.750
Ag: 0.728 0.272 0.250
Ge: 0.318 0.682 0.250
Ge: 0.682 0.318 0.750
Se: 0.061 0.199 0.461
Se: 0.113 0.602 0.916
Se: 0.199 0.061 0.961
Se: 0.306 0.490 0.410
Se: 0.398 0.887 0.584
Se: 0.490 0.306 0.910
Se: 0.510 0.694 0.090
Se: 0.602 0.113 0.416
Se: 0.694 0.510 0.590
Se: 0.801 0.939 0.039
Se: 0.887 0.398 0.084
Se: 0.939 0.801 0.539

***

No. 8
First-principles (GGA-PBE) data for an optimized crystal structure of Cs2InAgI5, as listed in Alexandria via LeMat-Bulk.

Computed properties:
* volume: 897.98 Å³ per cell
* crystal system: orthorhombic
* ΔE_f (raw): -0.880 eV/atom

Unit cell a=11.463 b=11.463 c=14.920 alpha=90.00 beta=90.00 gamma=152.74
Sites, in units of the cell vectors:
Cs: 0.101 0.899 0.500
Cs: 0.137 0.863 0.143
Cs: 0.863 0.137 0.643
Cs: 0.899 0.101 0.000
In: 0.421 0.579 0.262
In: 0.579 0.421 0.762
Ag: 0.262 0.738 0.948
Ag: 0.738 0.262 0.448
I: 0.063 0.937 0.837
I: 0.288 0.712 0.468
I: 0.315 0.685 0.147
I: 0.360 0.640 0.829
I: 0.493 0.507 0.608
I: 0.507 0.493 0.108
I: 0.640 0.360 0.329
I: 0.685 0.315 0.647
I: 0.712 0.288 0.968
I: 0.937 0.063 0.337